# Cr3SiO

A relaxed Cr3SiO crystal (PBE with a Hubbard U, the Alexandria database).

The structure in extended XYZ format:
```
5
Lattice="4.2369 0.0000 0.0000 0.0000 4.2369 0.0000 0.0000 0.0000 4.2369" Properties=species:S:1:pos:R:3 pbc="T T T"
Cr 0.0000 0.0000 2.1185
Cr 0.0000 2.1185 0.0000
Cr 2.1185 0.0000 0.0000
Si 2.1185 2.1185 2.1185
O 0.0000 0.0000 0.0000
```

Computed properties:
VASP energy	-34.06	eV/cell
total moment	12.00	μB per formula unit
E above lowest polymorph	0.00	eV per formula unit
symmetry	Pm-3m